w | The following is a PBE-GGA calculation of crystalline TbPr4Dy2 at its relaxed geometry, from Alexandria via LeMat-Bulk.

a = 12.673 Å, b = 12.673 Å, c = 6.876 Å
α = 97.00°, β = 97.00°, γ = 150.20°
Sites, in units of the cell vectors:
Pr: 0.038 0.147 0.601
Pr: 0.147 0.038 0.101
Pr: 0.186 0.795 0.899
Pr: 0.795 0.186 0.399
Pr: 0.598 0.561 0.635
Pr: 0.176 0.714 0.367
Pr: 0.560 0.598 0.135
Pr: 0.714 0.176 0.867
Tb: 0.420 0.670 0.500
Tb: 0.670 0.420 0.000
Dy: 0.922 0.104 0.048
Dy: 0.306 0.624 0.952
Dy: 0.104 0.922 0.548
Dy: 0.624 0.306 0.452

=====

x | The following is a PBE-GGA calculation of crystalline TbPr4Dy2 at its relaxed geometry, from Alexandria via LeMat-Bulk.

a = 6.258 Å, b = 6.717 Å, c = 11.772 Å
α = 90.00°, β = 104.51°, γ = 90.00°
Sites, in units of the cell vectors:
Pr: 0.645 0.991 0.285
Pr: 0.151 0.750 0.449
Pr: 0.355 0.491 0.715
Pr: 0.355 0.009 0.715
Pr: 0.035 0.750 0.863
Pr: 0.965 0.250 0.137
Pr: 0.849 0.250 0.551
Pr: 0.645 0.509 0.285
Dy: 0.288 0.250 0.425
Dy: 0.712 0.750 0.575
Dy: 0.605 0.750 0.996
Dy: 0.395 0.250 0.004
Tb: 0.851 0.250 0.839
Tb: 0.149 0.750 0.161

=====

So which one wins? Going from most stable to least: w, x.